CoH3 GGA-PBE optimized geometry; crystal system = trigonal; M_tot = 0.000 μB/atom; offset from the most stable computed form = 1.6 kJ/mol of atoms
1.0
3.6947 0.0000 0.0000
-1.8473 3.1997 0.0000
0.0000 0.0000 4.4720
Co H
3 9
Cartesian
0.0000 0.0000 0.0000
0.0000 2.1331 1.4897
1.8473 1.0666 2.9794
-0.9894 1.7440 0.0607
-0.1171 1.0526 3.0430
-0.8772 2.7748 3.0430
0.9901 0.4414 1.5449
0.8317 1.4709 0.0607
0.1577 3.1845 0.0607
0.9943 2.5720 3.0430
1.7346 2.1215 1.5449
2.8173 0.6367 1.5449

Cu3PSe3S GGA-PBE optimized geometry; crystal system = monoclinic; E_tot = -32.532 eV per formula unit
1.0
7.6969 0.0000 0.0000
0.0000 7.7611 0.0000
-3.7850 0.0000 5.3894
Cu P Se S
6 2 6 2
Cartesian
0.0000 0.0000 0.0000
-1.8127 2.0426 2.8224
-1.8127 5.7185 2.8224
3.8484 3.8806 0.0000
2.0357 1.8380 2.8224
2.0357 5.9231 2.8224
0.1560 3.8806 0.0314
4.0044 0.0000 0.0314
0.1101 2.0128 1.3803
0.1101 5.7483 1.3803
-1.6775 0.0000 4.0864
3.9585 1.8678 1.3803
3.9585 5.8933 1.3803
2.1709 3.8806 4.0864
-1.9036 3.8806 4.1566
1.9449 0.0000 4.1566

AcGdMg GGA-PBE optimized geometry; crystal system = cubic; M_tot = 0.028 μB/atom; E_tot = -9.219 eV per formula unit
1.0
7.7550 0.0000 0.0000
0.0000 7.7550 0.0000
0.0000 0.0000 7.7550
Ac Gd Mg
4 4 4
Cartesian
0.0000 0.0000 0.0000
0.0000 3.8775 3.8775
3.8775 0.0000 3.8775
3.8775 3.8775 0.0000
0.0000 0.0000 3.8775
0.0000 3.8775 0.0000
3.8775 0.0000 0.0000
3.8775 3.8775 3.8775
1.9387 1.9387 1.9387
1.9387 5.8162 5.8162
5.8162 1.9387 5.8162
5.8162 5.8162 1.9387

Sm4IrCl5 GGA-PBE optimized geometry; crystal system = monoclinic; M_tot = 0.001 μB/atom; E_tot = -54.090 eV per formula unit
1.0
9.3031 -2.0114 0.0000
9.3031 2.0114 0.0000
-2.1640 0.0000 8.1567
Sm Ir Cl
4 1 5
Cartesian
-0.5829 0.0000 2.2576
5.5672 0.0000 3.2695
10.8750 0.0000 4.8872
17.0252 0.0000 5.8991
8.2211 0.0000 4.0783
1.3132 0.0000 6.8132
2.4552 0.0000 3.0308
9.3031 0.0000 0.0000
13.9870 0.0000 5.1258
15.1290 0.0000 1.3435

Ni17Hg GGA-PBE optimized geometry; crystal system = monoclinic; M_tot = 0.551 μB/atom; energy relative to the elements = 0.1192 eV per atom; offset from the most stable computed form = 0.0 kJ/mol of atoms
1.0
4.2642 0.0000 0.0000
0.0000 4.9504 0.0000
-0.1307 0.0000 31.2324
Ni Hg
34 2
Cartesian
0.0000 0.0000 0.0000
-0.0244 0.0112 6.0437
-0.0244 2.4640 6.0437
0.0000 2.4752 0.0000
4.1579 2.4864 25.1886
4.1579 4.9392 25.1886
0.5942 3.7128 27.2060
0.7020 1.2376 2.0179
0.5985 1.2376 27.2174
0.7046 3.7128 2.0146
0.6795 3.7128 8.0205
1.2997 4.9502 29.2208
1.2997 2.4754 29.2208
1.4054 0.0040 4.0329
1.3256 0.0421 23.2108
1.3256 2.4331 23.2108
1.4054 2.4712 4.0329
2.0978 1.2376 6.0714
2.1033 3.7128 6.0207
2.1322 1.2376 0.0042
2.0013 3.7128 31.2282
2.0302 1.2376 25.2117
2.0357 3.7128 25.1610
2.7282 2.4792 27.1994
2.8080 2.5173 8.0216
2.8080 4.9083 8.0216
2.7282 4.9464 27.1994
2.8338 0.0002 2.0116
2.8338 2.4750 2.0116
3.4540 1.2376 23.2119
3.4289 1.2376 29.2178
3.5350 3.7128 4.0150
3.4316 3.7128 29.2145
3.5394 1.2376 4.0264
0.6756 1.2376 8.8353
3.4580 3.7128 22.3971

Dy4Tm3Ni2Te2 GGA-PBE optimized geometry; crystal system = orthorhombic; M_tot = 0.001 μB/atom; offset from the most stable computed form = 0.9 kJ/mol of atoms
1.0
-1.9117 7.7720 4.7806
1.9117 -7.7720 4.7806
1.9117 7.7720 -4.7806
Dy Tm Ni Te
4 3 2 2
Cartesian
1.9117 -2.8780 2.8539
0.0000 2.0579 0.0000
1.9117 2.8780 2.8539
0.0000 13.4862 0.0000
0.0000 0.0000 4.0161
0.0000 5.5017 1.4058
0.0000 10.0423 1.4058
1.9117 4.0985 -0.0710
0.0000 3.6735 4.7096
1.9117 0.0000 1.4886
0.0000 0.0000 7.2051